(1)
The following is a DFT calculation (GGA-PBE) of a relaxed CdPtCl2 crystal.

Calculated values
Its space group is Fmmm (69). The energy above the most stable polymorph in this dataset comes out at 391 meV/atom. The calculation puts the formation energy (no corrections) at -0.191 eV/f.u. The value obtained for the calculated total energy is -2.710 eV/atom. For the density of states at the Fermi level, the calculation gives 1.26 states/eV per cell.

Cell and atoms, written as POSCAR:
```
CdPtCl2
1.0
-0.892 -1.001 4.678
2.544 -3.981 -1.169
3.974 -0.766 2.725
Cl Cd Pt
2 1 1
direct
0.000 0.000 0.000
0.500 0.500 0.000
0.000 0.500 0.500
0.500 0.000 0.500
```



(2)
The following is a DFT calculation (GGA-PBE) of a relaxed CaCrSeN2 crystal.

Calculated values
Its space group is P4/mmm (123). The energy above the most stable polymorph in this dataset comes out at 2176 meV/atom. The calculation puts the formation energy (no corrections) at 9.705 eV/f.u. The value obtained for the calculated total energy is -4.411 eV/atom. For the density of states at the Fermi level, the calculation gives 8.24 states/eV per cell.

Cell and atoms, written as POSCAR:
```
CaCrSeN2
1.0
4.181 0.000 0.000
0.000 4.181 0.000
0.000 0.000 5.585
Ca N Se Cr
1 2 1 1
direct
0.000 0.000 0.000
0.000 0.500 0.000
0.500 0.000 0.000
0.000 0.000 0.500
0.500 0.500 0.500
```



(3)
The following is a DFT calculation (GGA-PBE) of a relaxed Tb2YPt crystal.

Calculated values
The calculation puts the formation energy at -514 meV per atom. Its space group is R3m (160). The energy above the most stable polymorph in this dataset comes out at 194 meV/atom. The value obtained for the calculated total energy is -5.955 eV/atom. For the density of states at the Fermi level, the calculation gives 5.11 states/eV per cell.

Cell and atoms, written as POSCAR:
```
Tb2YPt
1.0
-2.773 -1.092 2.565
-2.588 -2.795 -0.974
3.780 -7.611 3.860
Y Tb Pt
1 2 1
direct
0.502 0.502 0.495
0.272 0.272 0.184
0.061 0.061 0.818
0.666 0.666 0.003
```



(4)
The following is a DFT calculation (GGA-PBE) of a relaxed BaPdW2 crystal.

Calculated values
The calculation puts the formation energy at 1555 meV per atom. Its space group is Fm-3m (225). The energy above the most stable polymorph in this dataset comes out at 339 meV/atom. The value obtained for the calculated total energy is -6.700 eV/atom. For the density of states at the Fermi level, the calculation gives 2.18 states/eV per cell.

Cell and atoms, written as POSCAR:
```
BaPdW2
1.0
0.000 3.361 3.361
3.361 0.000 3.361
3.361 3.361 0.000
Pd Ba W
1 1 2
direct
0.000 0.000 0.000
0.500 0.500 0.500
0.750 0.750 0.750
0.250 0.250 0.250
```



(5)
The following is a DFT calculation (GGA-PBE) of a relaxed Li3Ce3BeSe8 crystal.

Calculated values
Its space group is C2/m (12). The calculation puts the formation energy (no corrections) at -19.745 eV/f.u. The value obtained for the calculated total energy is -4.993 eV/atom. For the density of states at the Fermi level, the calculation gives 10.54 states/eV per cell.

Cell and atoms, written as POSCAR:
```
Li3Ce3BeSe8
1.0
8.313 0.000 0.000
-4.156 6.996 -0.091
0.000 -4.705 6.431
Be Ce Se Li
1 3 8 3
direct
0.000 0.000 0.500
0.000 0.500 0.500
0.500 0.500 0.500
0.500 0.000 0.500
0.758 0.517 0.765
0.242 0.483 0.235
0.754 0.006 0.749
0.246 0.994 0.251
0.253 0.006 0.749
0.204 0.409 0.709
0.747 0.994 0.251
0.796 0.591 0.291
0.000 0.000 0.000
0.000 0.500 0.000
0.500 0.500 0.000
```



(6)
The following is a DFT calculation (GGA-PBE) of a relaxed Co2Ir crystal.

Calculated values
The calculation puts the formation energy at 31 meV per atom. Its space group is Cmcm (63). The energy above the most stable polymorph in this dataset comes out at 13 meV/atom. The value obtained for the calculated total energy is -7.660 eV/atom. For the density of states at the Fermi level, the calculation gives 8.48 states/eV per cell.

Cell and atoms, written as POSCAR:
```
Co2Ir
1.0
6.822 0.011 0.000
-6.314 2.583 0.000
0.000 0.000 4.164
Ir Co
2 4
direct
0.668 0.332 0.000
0.888 0.112 0.500
0.336 0.664 0.000
0.001 0.999 0.000
0.219 0.781 0.500
0.555 0.445 0.500
```